w.
The following is a DFT calculation (PBE) of Hf2Cr2H after structural relaxation.

N(E_F) ... 12.43 states/eV/cell
Density ... 9.6 g/cm³
Crystal system ... tetragonal

a = 5.9945 Å, b = 5.9945 Å, c = 4.4583 Å
α = 90.00°, β = 90.00°, γ = 90.00°
Fractional positions:
Hf1 0.1793 0.3207 0.0000
Hf2 0.3207 0.8207 0.0000
Hf3 0.6793 0.1793 0.0000
Hf4 0.8207 0.6793 0.0000
Cr1 0.1132 0.6132 0.5000
Cr2 0.3868 0.1132 0.5000
Cr3 0.6132 0.8868 0.5000
Cr4 0.8868 0.3868 0.5000
H1 0.0000 0.0000 0.0000
H2 0.5000 0.5000 0.0000

=====

x.
The following is a DFT calculation (PBE) of Hf2Cr2H after structural relaxation.

N(E_F) ... 7.58 states/eV/cell
Density ... 10.1 g/cm³
Crystal system ... tetragonal

a = 7.6620 Å, b = 7.6620 Å, c = 7.6620 Å
α = 155.74°, β = 155.74°, γ = 34.58°
Fractional positions:
Hf1 0.0958 0.0958 0.0000
Hf2 0.9042 0.9042 0.0000
Cr1 0.2500 0.7500 0.5000
Cr2 0.7500 0.2500 0.5000
H1 0.5000 0.5000 0.0000

=====

List of relative energies, unit kJ/mol of atoms: w 0.0; x 12.6

=====

w.
The following is a DFT calculation (PBE) of Hf2CrNiH after structural relaxation.

N(E_F) ... 4.42 states/eV/cell
Density ... 11.6 g/cm³
Crystal system ... tetragonal

a = 4.4946 Å, b = 4.4946 Å, c = 3.3259 Å
α = 90.00°, β = 90.00°, γ = 90.00°
Fractional positions:
Hf1 0.0000 0.5000 0.0000
Hf2 0.5000 0.0000 0.0000
Cr1 0.0000 0.0000 0.5000
Ni1 0.5000 0.5000 0.5000
H1 0.0000 0.0000 0.0000

=====

x.
The following is a DFT calculation (PBE) of Hf2CrNiH after structural relaxation.

N(E_F) ... 4.79 states/eV/cell
Density ... 11.6 g/cm³
Crystal system ... tetragonal

a = 4.4908 Å, b = 4.4908 Å, c = 3.3365 Å
α = 90.00°, β = 90.00°, γ = 90.00°
Fractional positions:
Hf1 0.0000 0.5000 0.0000
Hf2 0.5000 0.0000 0.0000
Cr1 0.0000 0.0000 0.5000
Ni1 0.5000 0.5000 0.5000
H1 0.5000 0.5000 0.0000

=====

List of relative energies, unit kJ/mol of atoms: w 0.0; x 1.6

=====

w.
The following is a DFT calculation (PBE) of CrHg3H after structural relaxation.

N(E_F) ... 2.32 states/eV/cell
Density ... 6.9 g/cm³
Crystal system ... cubic

a = 5.4116 Å, b = 5.4116 Å, c = 5.4116 Å
α = 90.00°, β = 90.00°, γ = 90.00°
Fractional positions:
Cr1 0.0000 0.0000 0.0000
Hg1 0.0000 0.0000 0.5000
Hg2 0.0000 0.5000 0.0000
Hg3 0.5000 0.0000 0.0000
H1 0.5000 0.5000 0.5000

=====

x.
The following is a DFT calculation (PBE) of CrHg3H after structural relaxation.

N(E_F) ... 1.98 states/eV/cell
Density ... 11.8 g/cm³
Crystal system ... cubic

a = 4.5166 Å, b = 4.5166 Å, c = 4.5166 Å
α = 90.00°, β = 90.00°, γ = 90.00°
Fractional positions:
Cr1 0.0000 0.0000 0.0000
Hg1 0.0000 0.5000 0.5000
Hg2 0.5000 0.0000 0.5000
Hg3 0.5000 0.5000 0.0000
H1 0.5000 0.5000 0.5000

=====

List of relative energies, unit kJ/mol of atoms: w 16.0; x 0.0

=====

w.
The following is a DFT calculation (PBE) of Cr2HgH2 after structural relaxation.

N(E_F) ... 4.23 states/eV/cell
Density ... 9.5 g/cm³
Crystal system ... tetragonal

a = 5.2187 Å, b = 5.2187 Å, c = 5.2187 Å
α = 141.92°, β = 141.92°, γ = 54.95°
Fractional positions:
Cr1 0.2500 0.7500 0.5000
Cr2 0.7500 0.2500 0.5000
Hg1 0.0000 0.0000 0.0000
H1 0.3302 0.3302 0.0000
H2 0.6698 0.6698 0.0000

=====

x.
The following is a DFT calculation (PBE) of Cr2HgH2 after structural relaxation.

N(E_F) ... 9.47 states/eV/cell
Density ... 9.5 g/cm³
Crystal system ... tetragonal

a = 6.2519 Å, b = 6.2519 Å, c = 2.7414 Å
α = 90.00°, β = 90.00°, γ = 90.00°
Fractional positions:
Cr1 0.1129 0.3871 0.0000
Cr2 0.3871 0.8871 0.0000
Cr3 0.6129 0.1129 0.0000
Cr4 0.8871 0.6129 0.0000
Hg1 0.0000 0.0000 0.5000
Hg2 0.5000 0.5000 0.5000
H1 0.1043 0.6043 0.5000
H2 0.3957 0.1043 0.5000
H3 0.6043 0.8957 0.5000
H4 0.8957 0.3957 0.5000

=====

y.
The following is a DFT calculation (PBE) of Cr2HgH2 after structural relaxation.

N(E_F) ... 3.56 states/eV/cell
Density ... 10.2 g/cm³
Crystal system ... tetragonal

a = 5.6432 Å, b = 5.6432 Å, c = 5.6432 Å
α = 148.10°, β = 148.10°, γ = 45.74°
Fractional positions:
Cr1 0.1783 0.1783 0.0000
Cr2 0.8217 0.8217 0.0000
Hg1 0.5000 0.5000 0.0000
H1 0.2500 0.7500 0.5000
H2 0.7500 0.2500 0.5000

=====

List of relative energies, unit kJ/mol of atoms: w 8.1; x 28.8; y 0.0

=====

w.
The following is a DFT calculation (PBE) of CrHgSb2H after structural relaxation.

N(E_F) ... 2.75 states/eV/cell
Density ... 8.1 g/cm³
Crystal system ... tetragonal

a = 5.4934 Å, b = 5.4934 Å, c = 3.3870 Å
α = 90.00°, β = 90.00°, γ = 90.00°
Fractional positions:
Cr1 0.0000 0.0000 0.0000
Hg1 0.5000 0.5000 0.5000
Sb1 0.0000 0.5000 0.0000
Sb2 0.5000 0.0000 0.0000
H1 0.0000 0.0000 0.5000

=====

x.
The following is a DFT calculation (PBE) of CrHgSb2H after structural relaxation.

N(E_F) ... 2.26 states/eV/cell
Density ... 5.0 g/cm³
Crystal system ... tetragonal

a = 5.5426 Å, b = 5.5426 Å, c = 5.3728 Å
α = 90.00°, β = 90.00°, γ = 90.00°
Fractional positions:
Cr1 0.0000 0.0000 0.0000
Hg1 0.0000 0.0000 0.5000
Sb1 0.0000 0.5000 0.5000
Sb2 0.5000 0.0000 0.5000
H1 0.5000 0.5000 0.0000

=====

List of relative energies, unit kJ/mol of atoms: w 0.0; x 106.4

=====

w.
The following is a DFT calculation (PBE) of CrHI3 after structural relaxation.

N(E_F) ... 4.36 states/eV/cell
Density ... 5.5 g/cm³
Crystal system ... cubic

a = 5.0729 Å, b = 5.0729 Å, c = 5.0729 Å
α = 90.00°, β = 90.00°, γ = 90.00°
Fractional positions:
Cr1 0.0000 0.0000 0.0000
H1 0.5000 0.5000 0.5000
I1 0.0000 0.5000 0.5000
I2 0.5000 0.0000 0.5000
I3 0.5000 0.5000 0.0000

=====

x.
The following is a DFT calculation (PBE) of CrHI3 after structural relaxation.

N(E_F) ... 4.04 states/eV/cell
Density ... 4.2 g/cm³
Crystal system ... cubic

a = 5.5401 Å, b = 5.5401 Å, c = 5.5401 Å
α = 90.00°, β = 90.00°, γ = 90.00°
Fractional positions:
Cr1 0.0000 0.0000 0.0000
H1 0.5000 0.5000 0.5000
I1 0.0000 0.0000 0.5000
I2 0.0000 0.5000 0.0000
I3 0.5000 0.0000 0.0000

=====

y.
The following is a DFT calculation (PBE) of CrHI3 after structural relaxation.

N(E_F) ... 2.49 states/eV/cell
Density ... 4.4 g/cm³
Crystal system ... triclinic

a = 3.9009 Å, b = 6.2665 Å, c = 13.3531 Å
α = 89.40°, β = 89.86°, γ = 90.00°
Fractional positions:
Cr1 0.2386 0.2489 0.2498
Cr2 0.7614 0.7511 0.7502
H1 0.2618 0.2519 0.7509
H2 0.7382 0.7481 0.2491
I1 0.2382 0.7483 0.2495
I2 0.2602 0.7484 0.8926
I3 0.2625 0.7545 0.6078
I4 0.7375 0.2455 0.3922
I5 0.7398 0.2516 0.1074
I6 0.7618 0.2517 0.7505

=====

List of relative energies, unit kJ/mol of atoms: w 94.0; x 48.8; y 0.0

=====

w.
The following is a DFT calculation (PBE) of CrHIN2 after structural relaxation.

N(E_F) ... 8.43 states/eV/cell
Density ... 6.4 g/cm³
Crystal system ... tetragonal

a = 4.0077 Å, b = 4.0077 Å, c = 3.3687 Å
α = 90.00°, β = 90.00°, γ = 90.00°
Fractional positions:
Cr1 0.0000 0.0000 0.0000
H1 0.5000 0.5000 0.5000
I1 0.5000 0.5000 0.0000
N1 0.0000 0.5000 0.5000
N2 0.5000 0.0000 0.5000

=====

x.
The following is a DFT calculation (PBE) of CrHIN2 after structural relaxation.

N(E_F) ... 5.08 states/eV/cell
Density ... 4.7 g/cm³
Crystal system ... tetragonal

a = 3.5950 Å, b = 3.5950 Å, c = 5.6500 Å
α = 90.00°, β = 90.00°, γ = 90.00°
Fractional positions:
Cr1 0.0000 0.0000 0.0000
H1 0.5000 0.5000 0.5000
I1 0.0000 0.0000 0.5000
N1 0.0000 0.5000 0.0000
N2 0.5000 0.0000 0.0000

=====

List of relative energies, unit kJ/mol of atoms: w 145.2; x 0.0

=====

w.
The following is a DFT calculation (PBE) of CrTeHI2 after structural relaxation.

N(E_F) ... 3.60 states/eV/cell
Density ... 4.4 g/cm³
Crystal system ... tetragonal

a = 5.6443 Å, b = 5.6443 Å, c = 5.1631 Å
α = 90.00°, β = 90.00°, γ = 90.00°
Fractional positions:
Cr1 0.0000 0.0000 0.0000
Te1 0.0000 0.0000 0.5000
H1 0.5000 0.5000 0.5000
I1 0.0000 0.5000 0.0000
I2 0.5000 0.0000 0.0000

=====

x.
The following is a DFT calculation (PBE) of CrTeHI2 after structural relaxation.

N(E_F) ... 5.32 states/eV/cell
Density ... 5.6 g/cm³
Crystal system ... tetragonal

a = 5.7796 Å, b = 5.7796 Å, c = 3.8639 Å
α = 90.00°, β = 90.00°, γ = 90.00°
Fractional positions:
Cr1 0.0000 0.0000 0.0000
Te1 0.5000 0.5000 0.0000
H1 0.5000 0.5000 0.5000
I1 0.0000 0.5000 0.5000
I2 0.5000 0.0000 0.5000

=====

List of relative energies, unit kJ/mol of atoms: w 0.0; x 10.0